{
  "formula": "PaFe2SnO8",
  "functional": "GGA+U",
  "state": "relaxed",
  "sg": "I-4m2",
  "total_energy_ev_per_cell": -86.70,
  "cell": [[-3.402, 3.402, 3.403], [3.402, -3.402, 3.403], [3.402, 3.402, -3.403]],
  "species": ["Pa", "Fe", "Fe", "Sn", "O", "O", "O", "O", "O", "O", "O", "O"],
  "frac_coords": [[0.000, 0.000, 0.000], [0.500, 0.500, 0.000], [0.750, 0.250, 0.500], [0.250, 0.750, 0.500], [0.304, 0.108, 0.804], [0.304, 0.500, 0.196], [0.365, 0.054, 0.311], [0.500, 0.696, 0.804], [0.743, 0.054, 0.689], [0.892, 0.696, 0.196], [0.946, 0.257, 0.311], [0.946, 0.635, 0.689]]
}